The following is a DFT calculation (GGA+U) of a geometry-optimized ZnW2SO3 structure.

Computed properties:
The calculation puts the uncorrected energy at -5.05 eV/atom. As for the space group: P-1. The calculation puts the density at 6.96 g/cm³. For the volume, the calculation gives 17.50 Å³ per atom.

Lattice parameters (Å, degrees): 7.639 8.007 8.806 68.59 87.42 77.92
Fractional positions:
Zn  0.000  0.000  0.000
Zn  0.236  0.002  0.554
Zn  0.500  0.500  0.500
Zn  0.764  0.998  0.446
W  0.014  0.643  0.070
W  0.312  0.800  0.207
W  0.327  0.142  0.947
W  0.360  0.504  0.822
W  0.640  0.496  0.178
W  0.673  0.858  0.053
W  0.688  0.200  0.793
W  0.986  0.357  0.930
S  0.065  0.680  0.539
S  0.456  0.120  0.211
S  0.544  0.880  0.789
S  0.935  0.320  0.461
O  0.083  0.816  0.364
O  0.132  0.263  0.431
O  0.168  0.756  0.648
O  0.342  0.995  0.767
O  0.369  0.979  0.351
O  0.471  0.270  0.272
O  0.529  0.730  0.728
O  0.631  0.021  0.649
O  0.658  0.005  0.233
O  0.832  0.244  0.352
O  0.868  0.737  0.569
O  0.917  0.184  0.636